This record from the Open Quantum Materials Database describes a relaxed YGaFeIr crystal. The functional is PBE.

Calculated values
- total magnetic moment (μB/atom) = 0.4851
- energy above the most stable polymorph in this dataset (meV per atom) = 0
- E_tot (eV/cell) = -110.11

```
data_YGaFeIr
_chemical_formula_sum 'Y4 Ga4 Fe4 Ir4'
_space_group_name_H-M_alt 'F -4 3 m'
_space_group_IT_number 216
_space_group_name_Hall 'F -4 2 3'
_cell_length_a 6.448
_cell_length_b 6.448
_cell_length_c 6.448
_cell_angle_alpha 90.00
_cell_angle_beta 90.00
_cell_angle_gamma 90.00
loop_
_atom_site_label
_atom_site_type_symbol
_atom_site_fract_x
_atom_site_fract_y
_atom_site_fract_z
_atom_site_occupancy
Y1 Y 0.000 0.000 0.000 1
Ga1 Ga 0.000 0.000 0.500 1
Fe1 Fe 0.250 0.250 0.750 1
Ir1 Ir 0.250 0.250 0.250 1
```